14
Lattice="4.060 2.344 6.709 -4.060 2.344 6.709 0.000 -4.688 6.709" Properties=species:S:1:pos:R:3 comment="NaPmY4S8 (GGA-PBE, optimized geometry)" spacegroup="R3m (160)" raw_formation_energy_ev_per_atom=-1.953 magnetic_moment_mub_per_fu=0.0 dos_ef_per_ev_fu=0.00 pbc="T T T"
Na 0.000 0.000 0.000
Pm 0.000 0.000 12.689
Y -2.102 -1.213 9.222
Y 0.000 0.000 5.069
Y 2.102 -1.213 9.222
Y 0.000 2.427 9.222
S 0.000 -2.221 10.837
S -1.923 1.110 10.837
S 0.000 0.000 7.736
S -1.870 -1.080 14.398
S 1.923 1.110 10.837
S 0.000 0.000 17.404
S 1.870 -1.080 14.398
S 0.000 2.160 14.398

---

14
Lattice="4.154 2.398 6.703 -4.154 2.398 6.703 0.000 -4.797 6.703" Properties=species:S:1:pos:R:3 comment="NaPm4YS8 (GGA-PBE, optimized geometry)" spacegroup="R3m (160)" raw_formation_energy_ev_per_atom=-1.933 magnetic_moment_mub_per_fu=0.0 dos_ef_per_ev_fu=0.00 pbc="T T T"
Na 0.000 0.000 0.000
Pm -2.145 -1.239 9.168
Pm 0.000 0.000 4.991
Pm 2.145 -1.239 9.168
Pm 0.000 2.477 9.168
Y 0.000 0.000 12.638
S 0.000 0.000 7.680
S 0.000 -2.213 10.855
S -1.917 1.107 10.855
S -1.880 -1.085 14.256
S 1.917 1.107 10.855
S 1.880 -1.085 14.256
S 0.000 2.170 14.256
S 0.000 0.000 17.369

---

12
Lattice="8.709 -1.991 0.000 8.709 1.991 0.000 -1.836 0.000 7.791" Properties=species:S:1:pos:R:3 comment="NaPm3Y2S6 (GGA-PBE, optimized geometry)" spacegroup="C2/m (12)" raw_formation_energy_ev_per_atom=-1.955 magnetic_moment_mub_per_fu=0.0 dos_ef_per_ev_fu=3.70 pbc="T T T"
Na 0.000 0.000 0.000
Pm -0.918 0.000 3.895
Pm 5.571 0.000 1.353
Pm 10.012 0.000 6.437
Y 4.604 0.000 5.156
Y 10.978 0.000 2.635
S 2.762 0.000 0.702
S 1.876 0.000 4.508
S 7.259 0.000 5.848
S 8.323 0.000 1.943
S 13.706 0.000 3.283
S 12.820 0.000 7.089

---

12
Lattice="3.518 -6.094 0.000 3.518 6.094 0.000 -2.346 0.000 6.694" Properties=species:S:1:pos:R:3 comment="Na3Pm2YS6 (GGA-PBE, optimized geometry)" spacegroup="C2/m (12)" raw_formation_energy_ev_per_atom=-1.822 magnetic_moment_mub_per_fu=0.0 dos_ef_per_ev_fu=0.00 pbc="T T T"
Na 0.000 0.000 0.000
Na 3.518 2.031 0.000
Na 3.518 -2.031 0.000
Pm 2.345 4.063 3.347
Pm 2.345 -4.063 3.347
Y 2.345 0.000 3.347
S 1.194 1.994 1.804
S 0.044 0.000 4.884
S 1.194 -1.994 1.804
S 3.496 1.994 4.890
S 4.647 0.000 1.810
S 3.496 -1.994 4.890

---

12
Lattice="3.487 -6.040 0.000 3.487 6.040 0.000 -2.325 0.000 6.689" Properties=species:S:1:pos:R:3 comment="Na3PmY2S6 (GGA-PBE, optimized geometry)" spacegroup="C2/m (12)" raw_formation_energy_ev_per_atom=-1.836 magnetic_moment_mub_per_fu=0.0 dos_ef_per_ev_fu=0.00 pbc="T T T"
Na 0.000 0.000 0.000
Na 3.487 2.012 0.000
Na 3.487 -2.012 0.000
Pm 2.325 0.000 3.345
Y 2.325 4.025 3.345
Y 2.325 -4.025 3.345
S 1.140 2.051 1.817
S -0.044 0.000 4.878
S 1.140 -2.051 1.817
S 3.509 2.051 4.873
S 4.693 0.000 1.812
S 3.509 -2.051 4.873

---

15
Lattice="4.030 2.326 6.739 -4.030 2.326 6.739 0.000 -4.653 6.739" Properties=species:S:1:pos:R:3 comment="Na3Pm3ZrS8 (GGA-PBE, optimized geometry)" spacegroup="R-3m (166)" raw_formation_energy_ev_per_atom=-1.751 magnetic_moment_mub_per_fu=0.0 dos_ef_per_ev_fu=0.00 pbc="T T T"
Na -2.015 -1.163 6.739
Na -2.015 1.163 13.478
Na 0.000 2.326 6.739
Pm -4.030 0.000 10.108
Pm -2.015 1.163 3.369
Pm 2.015 1.163 3.369
Zr 0.000 0.000 10.108
S 0.000 0.000 4.939
S -1.873 -1.082 11.582
S 0.000 -2.163 8.635
S -1.873 1.082 8.635
S 1.873 -1.082 11.582
S 0.000 2.163 11.582
S 1.873 1.082 8.635
S 0.000 0.000 15.278

---

4
Lattice="5.095 0.000 0.000 0.000 5.095 0.000 0.000 0.000 4.440" Properties=species:S:1:pos:R:3 comment="NaPm2Sb (GGA-PBE, optimized geometry)" polymorph_energy_mev_per_atom=0 spacegroup="P4/mmm (123)" raw_formation_energy_ev_per_atom=-0.443 magnetic_moment_mub_per_fu=0.0 dos_ef_per_ev_fu=3.09 pbc="T T T"
Na 0.000 0.000 0.000
Pm 0.000 2.548 2.220
Pm 2.548 0.000 2.220
Sb 2.548 2.548 0.000

---

4
Lattice="2.055 1.187 11.268 -2.055 1.187 11.268 0.000 -2.373 11.268" Properties=species:S:1:pos:R:3 comment="NaPm2Sb (GGA-PBE, optimized geometry)" polymorph_energy_mev_per_atom=218 spacegroup="R-3m (166)" raw_formation_energy_ev_per_atom=-0.225 magnetic_moment_mub_per_fu=0.0 dos_ef_per_ev_fu=3.77 pbc="T T T"
Na 0.000 0.000 0.000
Pm 0.000 0.000 3.717
Pm 0.000 0.000 30.088
Sb 0.000 0.000 16.903